# 1
Computed, not measured: a relaxed Mg2TaSb crystal at the PBE-GGA level of DFT.

Structure (POSCAR):
```
Mg2TaSb
1.0
-8.555 1.139 -4.828
-9.661 -0.121 -2.108
-9.128 3.023 -2.311
Mg Sb Ta
2 1 1
direct
0.001 0.001 0.001
0.499 0.499 0.499
0.250 0.250 0.250
0.750 0.750 0.750
```

## Properties
E_form (uncorrected) = 20 kJ per mole of atoms

=====

# 2
Computed, not measured: a relaxed La3ZrNb crystal at the PBE-GGA level of DFT.

Structure (POSCAR):
```
La3ZrNb
1.0
-4.812 1.359 -2.468
1.621 -2.660 -4.625
-2.305 -4.709 1.901
Nb Zr La
1 1 3
direct
0.000 0.000 0.000
0.500 0.500 0.500
0.000 0.500 0.000
0.000 0.000 0.500
0.500 0.000 0.000
```

## Properties
E = -29.8 eV for the cell shown

=====

| no. | Fermi-level density of states (states/eV per cell) |
| --- | --- |
| 1 | 2.95 |
| 2 | 7.39 |